No. 1
A plane-wave DFT calculation with GGA-PBE was carried out for a relaxed KZr2Pb crystal.

Properties
Space-group type = Imm2 (44)
Energy of formation from the pure elements = 0.529 eV/atom

Cell and atoms, written as extended XYZ:
```
4
Lattice="-4.514 1.163 4.924 -1.405 -4.902 4.469 4.197 4.481 -2.878" Properties=species:S:1:pos:R:3 pbc="T T T"
K -2.940 -1.857 4.666
Pb 0.037 -1.069 2.952
Zr -5.871 -3.709 9.318
Zr -1.826 1.768 3.671
```

No. 2
A plane-wave DFT calculation with GGA-PBE was carried out for a relaxed Tb4PmPr3Se8 crystal.

Properties
E_form (uncorrected) = -1.807 eV per atom
Space-group type = R-3m (166)

Cell and atoms, written as extended XYZ:
```
16
Lattice="-5.680 -1.009 5.927 4.209 -6.702 2.893 3.930 7.236 -0.774" Properties=species:S:1:pos:R:3 pbc="T T T"
Tb -2.840 -0.504 2.963
Tb -0.875 3.114 2.577
Tb 0.000 0.000 0.000
Tb 1.965 3.618 -0.387
Pm 2.104 -3.351 1.446
Pr -0.736 -3.855 4.410
Pr 1.229 -0.237 4.023
Pr 4.069 0.267 1.060
Se 1.819 -5.300 3.705
Se 3.769 -1.709 3.321
Se 1.517 1.726 1.748
Se -1.042 -5.808 6.690
Se 3.501 5.334 1.356
Se 0.941 -2.201 6.298
Se -1.310 1.234 4.725
Se 0.640 4.826 4.341
```

No. 3
A plane-wave DFT calculation with GGA-PBE was carried out for a relaxed LiSm2Fe crystal.

Properties
Space-group type = P4/mmm (123)
Energy of formation from the pure elements = 0.112 eV/atom

Cell and atoms, written as extended XYZ:
```
4
Lattice="-2.252 1.195 2.345 0.570 -2.791 1.970 6.035 3.915 3.800" Properties=species:S:1:pos:R:3 pbc="T T T"
Fe -0.841 -0.798 2.157
Sm 4.808 3.119 3.027
Sm 1.227 0.796 0.773
Li 2.177 1.160 4.057
```

No. 4
A plane-wave DFT calculation with GGA-PBE was carried out for a relaxed HAuI3 crystal.

Properties
E = -2.189 eV/atom
Space-group type = P-1 (2)

Cell and atoms, written as extended XYZ:
```
20
Lattice="8.771 -0.484 2.845 -0.244 3.589 -1.246 2.791 -2.035 27.868" Properties=species:S:1:pos:R:3 pbc="T T T"
H 1.557 0.364 9.171
H 6.780 -0.773 8.840
H 4.538 1.843 20.627
H 9.761 0.706 20.295
Au 2.485 0.049 2.560
Au 4.423 1.087 16.546
Au 6.895 -0.017 12.921
Au 8.833 1.021 26.907
I 4.732 -0.576 11.687
I 6.939 0.337 25.319
I 4.031 0.755 21.751
I 0.946 1.347 0.786
I 2.401 -0.051 7.780
I 6.586 1.646 17.780
I 9.114 0.522 14.083
I 8.917 1.121 21.687
I 10.372 -0.277 28.681
I 7.287 0.315 7.716
I 4.379 0.734 4.148
I 2.204 0.548 15.384
```

No. 5
A plane-wave DFT calculation with GGA-PBE was carried out for a relaxed PmY6Ho2 crystal.

Properties
Space-group type = C2/c (15)
Energy of formation from the pure elements = 0.068 eV/atom

Cell and atoms, written as extended XYZ:
```
18
Lattice="-3.738 -4.347 0.176 3.629 1.101 11.241 -3.507 7.138 8.803" Properties=species:S:1:pos:R:3 pbc="T T T"
Pm -2.655 4.539 9.457
Pm -0.962 -0.648 10.762
Y -3.519 1.816 11.657
Y -3.137 0.892 8.251
Y -0.097 2.075 8.563
Y -0.479 2.999 11.969
Y -1.559 -0.002 14.141
Y -0.353 -1.304 7.388
Y -2.057 3.894 6.079
Y -3.264 5.195 12.831
Y -0.981 7.450 18.176
Y -1.938 -0.394 1.555
Y -2.635 -3.559 2.043
Y -1.678 4.285 18.665
Ho -0.624 6.524 14.836
Ho -2.296 0.533 4.894
Ho -2.993 -2.633 5.383
Ho -1.320 3.359 15.325
```

No. 6
A plane-wave DFT calculation with GGA-PBE was carried out for a relaxed NaMn3P crystal.

Properties
Space-group type = Pm-3m (221)
Energy of formation from the pure elements = 0.339 eV/atom

Cell and atoms, written as extended XYZ:
```
5
Lattice="4.503 0.000 0.000 0.000 4.503 0.000 0.000 0.000 4.503" Properties=species:S:1:pos:R:3 pbc="T T T"
P 0.000 0.000 0.000
Mn 0.000 2.252 0.000
Mn 0.000 0.000 2.252
Mn 2.252 0.000 0.000
Na 2.252 2.252 2.252
```

The records above give, respectively, total moment values of 0.389 0.000 1.153 0.000 0.000 9.995 μB/f.u..